The following is a PBE with a Hubbard U calculation of Na3InMo3O8 after structural relaxation, from the Alexandria database.

Summary:
- DFT total energy (eV/f.u.) = -91.9
- total magnetic moment (Bohr magnetons per cell) = 8.000
- space-group type = C2/m

Unit cell a=6.5101 b=6.4954 c=6.6628 alpha=119.22 beta=90.00 gamma=120.07
Last column: nearest neighbours and their distance in Å.
Fractional positions:
O  0.7603  0.5206  0.3024  2 Mo 2.14, 1 In 2.23
O  0.2710  0.0407  0.3024  2 Mo 2.14-2.18, 1 In 2.19
O  0.2634  0.5267  0.2932  3 Mo 2.19-2.20
In  0.0000  0.0000  0.5000  6 O 2.19-2.23
Na  0.5000  0.5000  0.0000  6 O 2.48-2.54
Mo  0.0000  0.5000  0.5000  6 O 2.14-2.19
Na  0.0000  0.5000  0.0000  6 O 2.48-2.54
O  0.7290  0.9593  0.6976  2 Mo 2.14-2.18, 1 In 2.19
O  0.7366  0.4733  0.7068  3 Mo 2.19-2.20
Mo  0.5000  0.0000  0.5000  6 O 2.18-2.20
Na  0.0000  0.0000  0.0000  6 O 2.46-2.50
Mo  0.5000  0.5000  0.5000  6 O 2.14-2.19
O  0.7697  0.0407  0.3024  2 Mo 2.14-2.18, 1 In 2.19
O  0.2303  0.9593  0.6976  2 Mo 2.14-2.18, 1 In 2.19
O  0.2397  0.4794  0.6976  2 Mo 2.14, 1 In 2.23